Crystalline DyHg3Pb at its relaxed geometry. Source: the Alexandria database, functional GGA-PBE.

Values from the calculation:
relative energy among the computed polymorphs = 30 meV/atom
ΔH_f (0 K) = -0.1778 eV per atom
total magnetization = 0.00 μB/f.u.
space group = Cmcm (63)
E = -2.021 eV per atom

Cell: 5.6633 6.3624 8.5862 Å, 111.75 90.00 90.00°
Element x y z (fractional)
1 Dy 0.2500 0.8187 0.6374
2 Pb 0.7500 0.6340 0.2680
3 Hg 0.0000 0.0000 0.0000
4 Hg 0.7500 0.0842 0.6851
5 Hg 0.2500 0.9158 0.3149
6 Hg 0.7500 0.6009 0.6851
7 Hg 0.2500 0.3991 0.3149
8 Dy 0.7500 0.1813 0.3626
9 Hg 0.5000 0.0000 0.0000
10 Pb 0.2500 0.3660 0.7320